Record 1
Density functional theory data (PBE-GGA) for crystalline HfZr2UC4 at its relaxed geometry.

Output
- ρ: 9.9 Mg/m³
- Density of states at the Fermi level: 4.81 states/eV per cell
- DFT formation energy: -5.5 eV per formula unit
- Spin magnetization: 0.0 μB per cell
- Energy: -10.086 eV per atom

Cell: 5.8404 3.3676 5.8501 Å, 90.00 109.09 90.00°
Space group P2/m (No. 10)
Inequivalent atoms, fractional coordinates:
Hf  0.0000  0.0000  0.0000
Zr  0.0000  0.5000  0.5000
Zr  0.5000  0.0000  0.5000
U  0.5000  0.5000  0.0000
C  0.2485  0.0000  0.7523
C  0.2512  0.5000  0.2419

=====

Record 2
Density functional theory data (PBE-GGA) for crystalline HfZrU2C4 at its relaxed geometry.

Output
- ρ: 11.8 Mg/m³
- Density of states at the Fermi level: 5.64 states/eV per cell
- DFT formation energy: -4.1 eV per formula unit
- Spin magnetization: 0.0 μB per cell
- Energy: -10.265 eV per atom

Cell: 5.8516 3.3786 5.9883 Å, 90.00 108.99 90.00°
Space group P2/m (No. 10)
Inequivalent atoms, fractional coordinates:
Hf  0.0000  0.0000  0.0000
Zr  0.5000  0.5000  0.0000
U  0.0000  0.5000  0.5000
U  0.5000  0.0000  0.5000
C  0.2447  0.5000  0.2432
C  0.2486  0.0000  0.7546

=====

Record 3
Density functional theory data (PBE-GGA) for crystalline HfZr2UC4 at its relaxed geometry.

Output
- ρ: 9.9 Mg/m³
- Density of states at the Fermi level: 13.92 states/eV per cell
- DFT formation energy: -5.4 eV per formula unit
- Spin magnetization: 0.7 μB per cell
- Energy: -10.077 eV per atom

Cell: 3.3576 3.3576 33.2602 Å, 90.00 90.00 120.00°
Space group R3m (No. 160, hexagonal axes)
Inequivalent atoms, fractional coordinates:
Hf  0.0000  0.0000  0.0000
Zr  0.0000  0.0000  0.2540
Zr  0.0000  0.0000  0.5072
U  0.0000  0.0000  0.7531
C  0.0000  0.0000  0.1297
C  0.0000  0.0000  0.3761
C  0.0000  0.0000  0.6291
C  0.0000  0.0000  0.8796